Record 1
AgHg4Ir | PBE-GGA | optimized geometry

Unit cell a=5.6443 b=5.6443 c=5.6443 alpha=60.00 beta=60.00 gamma=60.00
Fractional positions:
Hg 0.3752 0.8745 0.3752
Ir 0.7500 0.7500 0.7500
Ag 0.0000 0.0000 0.0000
Hg 0.3752 0.3752 0.3752
Hg 0.3752 0.3752 0.8745
Hg 0.8745 0.3752 0.3752

Output
ΔH_f (0 K)	0.7097	eV per atom
crystal system	cubic
Fermi-level density of states	0.558	states/eV/atom
density	14.4	Mg/m³
electronic total energy	-8.661	eV for the cell shown

***

Record 2
AgHg3Ir | PBE-GGA | optimized geometry

Unit cell a=5.2343 b=5.2343 c=5.2343 alpha=90.00 beta=90.00 gamma=90.00
Fractional positions:
Hg 0.0000 0.0000 0.5000
Ir 0.0000 0.0000 0.0000
Ag 0.5000 0.5000 0.5000
Hg 0.5000 0.0000 0.0000
Hg 0.0000 0.5000 0.0000

Output
ΔH_f (0 K)	0.5599	eV per atom
crystal system	cubic
Fermi-level density of states	0.674	states/eV/atom
density	10.4	Mg/m³
electronic total energy	-9.818	eV for the cell shown
energy above the most stable polymorph in this dataset	0	meV per atom

***

Record 3
AgHgIr | PBE-GGA | optimized geometry

Unit cell a=4.4763 b=4.4763 c=4.4763 alpha=60.00 beta=60.00 gamma=60.00
Fractional positions:
Ag 0.0000 0.0000 0.0000
Hg 0.5000 0.5000 0.5000
Ir 0.7500 0.7500 0.7500

Output
ΔH_f (0 K)	0.7259	eV per atom
crystal system	cubic
Fermi-level density of states	0.468	states/eV/atom
density	13.1	Mg/m³
electronic total energy	-9.836	eV for the cell shown
energy above the most stable polymorph in this dataset	316	meV per atom

***

Record 4
AgHg2Ir2 | PBE-GGA | optimized geometry

Unit cell a=3.6474 b=3.6474 c=7.9298 alpha=76.70 beta=76.70 gamma=90.00
Fractional positions:
Ir 0.7500 0.2500 0.5000
Ag 0.0000 0.0000 0.0000
Hg 0.5999 0.5999 0.8002
Hg 0.4001 0.4001 0.1998
Ir 0.2500 0.7500 0.5000

Output
ΔH_f (0 K)	0.5712	eV per atom
crystal system	tetragonal
Fermi-level density of states	1.089	states/eV/atom
density	14.9	Mg/m³
electronic total energy	-18.321	eV for the cell shown
energy above the most stable polymorph in this dataset	20	meV per atom

***

Record 5
AgHgIr | PBE-GGA | optimized geometry

Unit cell a=2.9225 b=2.9225 c=7.1168 alpha=90.00 beta=90.00 gamma=120.00
Fractional positions:
Hg 0.6667 0.3333 0.3396
Ag 0.0000 0.0000 0.9913
Ir 0.3333 0.6667 0.6691

Output
ΔH_f (0 K)	0.4099	eV per atom
crystal system	trigonal
Fermi-level density of states	1.061	states/eV/atom
density	15.8	Mg/m³
electronic total energy	-10.784	eV for the cell shown
energy above the most stable polymorph in this dataset	0	meV per atom

***

Record 6
AgHgIr | PBE-GGA | optimized geometry

Unit cell a=6.5276 b=6.5276 c=6.5276 alpha=154.10 beta=154.10 gamma=36.96
Fractional positions:
Ag 0.0068 0.0068 0.0000
Hg 0.3280 0.3280 0.0000
Ir 0.6651 0.6651 0.0000

Output
ΔH_f (0 K)	0.4597	eV per atom
crystal system	tetragonal
Fermi-level density of states	0.970	states/eV/atom
density	15.7	Mg/m³
electronic total energy	-10.635	eV for the cell shown
energy above the most stable polymorph in this dataset	50	meV per atom

***

Record 7
AgHgIr4 | PBE-GGA | optimized geometry

Unit cell a=5.2616 b=5.2616 c=5.2616 alpha=60.00 beta=60.00 gamma=60.00
Each line ends with the local moment (μB).
Fractional positions:
Hg 0.0000 0.0000 0.0000  0.00
Ir 0.8749 0.3750 0.3750  0.13
Ag 0.7500 0.7500 0.7500  0.01
Ir 0.3750 0.8749 0.3750  0.13
Ir 0.3750 0.3750 0.8749  0.13
Ir 0.3750 0.3750 0.3750  0.13

Output
ΔH_f (0 K)	0.5705	eV per atom
crystal system	cubic
Fermi-level density of states	2.120	states/eV/atom
density	17.4	Mg/m³
electronic total energy	-35.174	eV for the cell shown

***

Record 8
AgHgIr | PBE-GGA | optimized geometry

Unit cell a=5.0837 b=5.0680 c=5.0832 alpha=147.04 beta=131.37 gamma=60.09
Each line ends with the local moment (μB).
Fractional positions:
Hg 0.3300 0.3296 0.9989  0.00
Ag 0.0042 0.0043 0.0007  0.01
Ir 0.6659 0.6661 0.0004  0.38

Output
ΔH_f (0 K)	0.4906	eV per atom
crystal system	monoclinic
Fermi-level density of states	0.789	states/eV/atom
density	15.7	Mg/m³
electronic total energy	-10.542	eV for the cell shown
energy above the most stable polymorph in this dataset	81	meV per atom